5
Lattice="4.129 0.000 0.000 0.000 4.129 0.000 2.064 2.064 8.541" Properties=species:S:1:pos:R:3 comment="YPb2Se2 GGA-PBE optimized geometry" dft_energy_ev_per_atom=-4.62 n_ef_per_ev_cell=1.89 e_above_lowest_polymorph_mev_per_atom=270.0 pbc="T T T"
Pb 2.064 4.129 4.270
Pb 4.129 2.064 4.270
Y 0.000 0.000 0.000
Se 4.129 4.129 7.029
Se 2.064 2.064 1.512